No. 1
# CsTlCu2I6 | the Alexandria database | PBE | relaxed
data_CsTlCu2I6
_symmetry_space_group_name_H-M 'P 1'
_symmetry_Int_Tables_number 1
_cell_length_a 7.799
_cell_length_b 7.799
_cell_length_c 10.308
_cell_angle_alpha 67.77
_cell_angle_beta 67.77
_cell_angle_gamma 60.00
loop_
_symmetry_equiv_pos_as_xyz
'x,y,z'
loop_
_atom_site_label
_atom_site_fract_x
_atom_site_fract_y
_atom_site_fract_z
I1 0.096 0.453 0.696
I2 0.547 0.245 0.304
I3 0.245 0.904 0.304
I4 0.904 0.547 0.304
I5 0.755 0.096 0.696
I6 0.453 0.755 0.696
Cs1 0.000 0.000 0.000
Tl1 0.500 0.500 0.500
Cu1 0.228 0.228 0.317
Cu2 0.772 0.772 0.683
# Calculated density (g cm⁻³): 4.2
# Energy relative to the elements, uncorrected (eV per atom): -0.457
# Spin magnetization (μB/cell): 0.000
# Final energy (eV per cell): -25.3

***

No. 2
# ScHg | the Alexandria database | PBE | relaxed
data_ScHg
_symmetry_space_group_name_H-M 'P 1'
_symmetry_Int_Tables_number 1
_cell_length_a 3.432
_cell_length_b 9.637
_cell_length_c 3.432
_cell_angle_alpha 100.26
_cell_angle_beta 60.00
_cell_angle_gamma 100.26
loop_
_symmetry_equiv_pos_as_xyz
'x,y,z'
loop_
_atom_site_label
_atom_site_fract_x
_atom_site_fract_y
_atom_site_fract_z
Hg1 0.001 0.002 0.001
Hg2 0.249 0.748 0.249
Sc1 0.503 0.509 0.503
Sc2 0.747 0.241 0.747
# Calculated density (g cm⁻³): 8.5
# Spin magnetization (μB/cell): 0.833
# Energy of formation from the pure elements (eV per atom): -0.143
# Final energy (eV per cell): -13.8

***

No. 3
# KYGeO3 | the Alexandria database | PBE | relaxed
data_KYGeO3
_symmetry_space_group_name_H-M 'P 1'
_symmetry_Int_Tables_number 1
_cell_length_a 3.401
_cell_length_b 7.059
_cell_length_c 9.229
_cell_angle_alpha 83.85
_cell_angle_beta 90.00
_cell_angle_gamma 90.00
loop_
_symmetry_equiv_pos_as_xyz
'x,y,z'
loop_
_atom_site_label
_atom_site_fract_x
_atom_site_fract_y
_atom_site_fract_z
K1 0.250 0.092 0.234
K2 0.750 0.908 0.766
O1 0.250 0.551 0.393
O2 0.250 0.221 0.792
O3 0.250 0.621 0.892
O4 0.750 0.449 0.607
O5 0.750 0.779 0.208
O6 0.750 0.379 0.108
Ge1 0.750 0.699 0.426
Ge2 0.250 0.301 0.574
Y1 0.250 0.589 0.138
Y2 0.750 0.411 0.862
# Calculated density (g cm⁻³): 3.7
# Energy relative to the elements, uncorrected (eV per atom): -2.206
# Spin magnetization (μB/cell): 0.000
# Final energy (eV per cell): -80.6

***

No. 4
# Ti4VGa5 | the Alexandria database | PBE | relaxed
data_Ti4VGa5
_symmetry_space_group_name_H-M 'P 1'
_symmetry_Int_Tables_number 1
_cell_length_a 2.776
_cell_length_b 2.776
_cell_length_c 19.916
_cell_angle_alpha 90.00
_cell_angle_beta 90.00
_cell_angle_gamma 90.00
loop_
_symmetry_equiv_pos_as_xyz
'x,y,z'
loop_
_atom_site_label
_atom_site_fract_x
_atom_site_fract_y
_atom_site_fract_z
Ti1 0.000 0.000 0.198
Ti2 0.000 0.000 0.802
Ti3 0.000 0.000 0.399
Ti4 0.000 0.000 0.601
Ga1 0.500 0.500 0.095
Ga2 0.500 0.500 0.702
Ga3 0.500 0.500 0.500
Ga4 0.500 0.500 0.298
Ga5 0.500 0.500 0.905
V1 0.000 0.000 0.000
# Calculated density (g cm⁻³): 6.4
# Spin magnetization (μB/cell): 0.000
# Offset from the most stable computed form (meV per atom): 0
# Energy of formation from the pure elements (eV per atom): -0.408
# Final energy (eV per cell): -59.9